No. 1
{
  "formula": "KTb2ZnTe4",
  "functional": "GGA-PBE",
  "state": "relaxed",
  "lattice_angstrom": [[2.206, -7.587, 0.000], [2.206, 7.587, 0.000], [0.000, 0.000, 15.664]],
  "species": ["K", "K", "Tb", "Tb", "Tb", "Tb", "Zn", "Zn", "Te", "Te", "Te", "Te", "Te", "Te", "Te", "Te"],
  "fractional_positions": [[0.119, 0.881, 0.750], [0.881, 0.119, 0.250], [0.372, 0.628, 0.556], [0.372, 0.628, 0.944], [0.628, 0.372, 0.056], [0.628, 0.372, 0.444], [0.160, 0.840, 0.250], [0.840, 0.160, 0.750], [0.000, 0.000, 0.000], [0.000, 0.000, 0.500], [0.266, 0.734, 0.113], [0.266, 0.734, 0.387], [0.439, 0.561, 0.750], [0.561, 0.439, 0.250], [0.734, 0.266, 0.613], [0.734, 0.266, 0.887]],
  "dos_ef_per_ev_fu": 3.67,
  "e_form_raw_ev_per_atom": -1.078,
  "crystal_system": "orthorhombic"
}

---

No. 2
{
  "formula": "Sc3TaPt",
  "functional": "GGA-PBE",
  "state": "relaxed",
  "lattice_angstrom": [[4.995, 0.000, 0.000], [0.000, 4.995, 0.000], [0.000, 0.000, 4.995]],
  "species": ["Sc", "Sc", "Sc", "Ta", "Pt"],
  "fractional_positions": [[0.000, 0.000, 0.500], [0.000, 0.500, 0.000], [0.500, 0.000, 0.000], [0.500, 0.500, 0.500], [0.000, 0.000, 0.000]],
  "de_polymorph_ev_per_fu": 0.00,
  "e_form_mev_per_atom": 283,
  "dos_ef_per_ev_fu": 6.09,
  "crystal_system": "cubic"
}

---

No. 3
{
  "formula": "LaNpPaO6",
  "functional": "GGA-PBE",
  "state": "relaxed",
  "lattice_angstrom": [[5.908, 0.000, 0.000], [-2.954, 5.117, 0.000], [0.000, 0.000, 4.762]],
  "species": ["La", "Np", "Pa", "O", "O", "O", "O", "O", "O"],
  "fractional_positions": [[0.000, 0.000, 0.000], [0.333, 0.667, 0.000], [0.667, 0.333, 0.500], [0.363, 0.006, 0.246], [0.363, 0.357, 0.754], [0.643, 0.006, 0.754], [0.643, 0.637, 0.246], [0.994, 0.357, 0.246], [0.994, 0.637, 0.754]],
  "dos_ef_per_ev_fu": 10.91,
  "e_form_raw_ev_per_atom": -3.234,
  "crystal_system": "trigonal"
}

---

No. 4
{
  "formula": "Ca2LuAu",
  "functional": "GGA-PBE",
  "state": "relaxed",
  "lattice_angstrom": [[1.849, 1.068, 11.031], [-1.849, 1.068, 11.031], [0.000, -2.135, 11.031]],
  "species": ["Ca", "Ca", "Lu", "Au"],
  "fractional_positions": [[0.104, 0.104, 0.104], [0.896, 0.896, 0.896], [0.000, 0.000, 0.000], [0.500, 0.500, 0.500]],
  "e_form_mev_per_atom": -51,
  "dos_ef_per_ev_fu": 4.66,
  "crystal_system": "trigonal"
}

---

No. 5
{
  "formula": "AsCl",
  "functional": "GGA-PBE",
  "state": "relaxed",
  "lattice_angstrom": [[3.582, 0.000, 0.000], [0.000, 3.770, 0.000], [0.000, 0.000, 8.140]],
  "species": ["As", "As", "Cl", "Cl"],
  "fractional_positions": [[0.250, 0.250, 0.058], [0.750, 0.750, 0.942], [0.250, 0.750, 0.713], [0.750, 0.250, 0.287]],
  "dos_ef_per_ev_fu": 0.59,
  "e_form_raw_ev_per_atom": -0.043,
  "crystal_system": "orthorhombic"
}

---

No. 6
{
  "formula": "Nb2Si2Mo",
  "functional": "GGA-PBE",
  "state": "relaxed",
  "lattice_angstrom": [[6.622, 0.000, 0.000], [0.000, 6.622, 0.000], [0.000, 0.000, 3.543]],
  "species": ["Nb", "Nb", "Nb", "Nb", "Si", "Si", "Si", "Si", "Mo", "Mo"],
  "fractional_positions": [[0.170, 0.330, 0.000], [0.330, 0.830, 0.000], [0.670, 0.170, 0.000], [0.830, 0.670, 0.000], [0.130, 0.630, 0.500], [0.370, 0.130, 0.500], [0.630, 0.870, 0.500], [0.870, 0.370, 0.500], [0.000, 0.000, 0.500], [0.500, 0.500, 0.500]],
  "dos_ef_per_ev_fu": 3.24,
  "e_form_raw_ev_per_atom": -0.565,
  "crystal_system": "tetragonal"
}

---

No. 7
{
  "formula": "Rh2WBr",
  "functional": "GGA-PBE",
  "state": "relaxed",
  "lattice_angstrom": [[-3.130, 3.130, 4.547], [3.130, -3.130, 4.547], [3.130, 3.130, -4.547]],
  "species": ["Rh", "Rh", "Rh", "Rh", "W", "W", "Br", "Br"],
  "fractional_positions": [[0.100, 0.625, 0.975], [0.375, 0.350, 0.475], [0.650, 0.125, 0.025], [0.875, 0.900, 0.525], [0.000, 0.000, 0.000], [0.750, 0.250, 0.500], [0.250, 0.750, 0.500], [0.500, 0.500, 0.000]],
  "de_polymorph_ev_per_fu": 2.13,
  "dos_ef_per_ev_fu": 3.47,
  "e_form_raw_ev_per_atom": 0.682,
  "crystal_system": "tetragonal"
}

---

No. 8
{
  "formula": "VCr3Rh6",
  "functional": "GGA-PBE",
  "state": "relaxed",
  "lattice_angstrom": [[7.125, 0.000, 0.000], [0.000, 4.272, 0.000], [-3.081, 0.000, 8.811]],
  "species": ["V", "V", "Cr", "Cr", "Cr", "Cr", "Cr", "Cr", "Rh", "Rh", "Rh", "Rh", "Rh", "Rh", "Rh", "Rh", "Rh", "Rh", "Rh", "Rh"],
  "fractional_positions": [[0.104, 0.250, 0.073], [0.896, 0.750, 0.927], [0.104, 0.750, 0.735], [0.296, 0.750, 0.535], [0.300, 0.250, 0.865], [0.700, 0.750, 0.135], [0.704, 0.250, 0.465], [0.896, 0.250, 0.265], [0.085, 0.750, 0.227], [0.104, 0.250, 0.570], [0.291, 0.750, 0.025], [0.296, 0.250, 0.368], [0.494, 0.750, 0.831], [0.498, 0.750, 0.334], [0.502, 0.250, 0.666], [0.506, 0.250, 0.169], [0.704, 0.750, 0.632], [0.709, 0.250, 0.975], [0.896, 0.750, 0.430], [0.915, 0.250, 0.773]],
  "e_form_mev_per_atom": -164,
  "dos_ef_per_ev_fu": 9.26,
  "crystal_system": "monoclinic"
}

---

No. 9
{
  "formula": "GaAgI4",
  "functional": "GGA-PBE",
  "state": "relaxed",
  "lattice_angstrom": [[4.261, -6.005, 0.000], [4.261, 6.005, 0.000], [0.000, 0.000, 9.361]],
  "species": ["Ga", "Ga", "Ag", "Ag", "I", "I", "I", "I", "I", "I", "I", "I"],
  "fractional_positions": [[0.145, 0.855, 0.750], [0.855, 0.145, 0.250], [0.500, 0.500, 0.000], [0.500, 0.500, 0.500], [0.234, 0.260, 0.250], [0.258, 0.742, 0.515], [0.258, 0.742, 0.985], [0.260, 0.234, 0.750], [0.740, 0.766, 0.250], [0.742, 0.258, 0.015], [0.742, 0.258, 0.485], [0.766, 0.740, 0.750]],
  "de_polymorph_ev_per_fu": 0.36,
  "e_form_raw_ev_per_atom": -0.374,
  "crystal_system": "orthorhombic"
}

---

No. 10
{
  "formula": "Ho5CdRu4",
  "functional": "GGA-PBE",
  "state": "relaxed",
  "lattice_angstrom": [[3.400, 0.000, 0.000], [0.000, 3.400, 0.000], [0.000, 0.000, 17.980]],
  "species": ["Ho", "Ho", "Ho", "Ho", "Ho", "Cd", "Ru", "Ru", "Ru", "Ru"],
  "fractional_positions": [[0.000, 0.000, 0.000], [0.000, 0.000, 0.187], [0.000, 0.000, 0.373], [0.000, 0.000, 0.627], [0.000, 0.000, 0.813], [0.500, 0.500, 0.500], [0.500, 0.500, 0.095], [0.500, 0.500, 0.286], [0.500, 0.500, 0.714], [0.500, 0.500, 0.905]],
  "e_form_mev_per_atom": -394,
  "dos_ef_per_ev_fu": 7.13,
  "crystal_system": "tetragonal"
}

---

No. 11
{
  "formula": "Sb2OsRu",
  "functional": "GGA-PBE",
  "state": "relaxed",
  "lattice_angstrom": [[-2.964, 2.964, 5.869], [2.964, -2.964, 5.869], [2.964, 2.964, -5.869]],
  "species": ["Sb", "Sb", "Sb", "Sb", "Os", "Os", "Ru", "Ru"],
  "fractional_positions": [[0.125, 0.625, 0.000], [0.375, 0.375, 0.500], [0.625, 0.125, 0.000], [0.875, 0.875, 0.500], [0.000, 0.000, 0.000], [0.750, 0.250, 0.500], [0.250, 0.750, 0.500], [0.500, 0.500, 0.000]],
  "de_polymorph_ev_per_fu": 1.76,
  "dos_ef_per_ev_fu": 2.53,
  "e_form_raw_ev_per_atom": 0.693,
  "crystal_system": "tetragonal"
}

---

No. 12
{
  "formula": "Rb2TlCoCl6",
  "functional": "GGA-PBE",
  "state": "relaxed",
  "lattice_angstrom": [[7.428, 0.000, 0.000], [0.000, 7.417, 0.000], [-7.374, 0.000, 10.522]],
  "species": ["Rb", "Rb", "Rb", "Rb", "Tl", "Tl", "Co", "Co", "Cl", "Cl", "Cl", "Cl", "Cl", "Cl", "Cl", "Cl", "Cl", "Cl", "Cl", "Cl"],
  "fractional_positions": [[0.243, 0.032, 0.249], [0.243, 0.468, 0.749], [0.757, 0.532, 0.251], [0.757, 0.968, 0.751], [0.500, 0.000, 0.000], [0.500, 0.500, 0.500], [0.000, 0.000, 0.500], [0.000, 0.500, 0.000], [0.160, 0.247, 0.478], [0.160, 0.253, 0.978], [0.219, 0.684, 0.974], [0.219, 0.816, 0.474], [0.260, 0.001, 0.715], [0.260, 0.499, 0.215], [0.740, 0.501, 0.785], [0.740, 0.999, 0.285], [0.781, 0.184, 0.526], [0.781, 0.316, 0.026], [0.840, 0.747, 0.022], [0.840, 0.753, 0.522]],
  "e_form_raw_ev_per_atom": -1.215,
  "crystal_system": "monoclinic"
}

---

no.,uncorrected energy (eV per cell),total magnetic moment (μB/f.u.)
1,-65.65,0.00
2,-35.47,1.43
3,-86.22,3.00
4,-12.01,0.31
5,-13.16,0.00
6,-89.28,0.00
7,-53.21,0.00
8,-167.48,0.66
9,-28.64,0.00
10,-64.85,0.00
11,-51.96,0.00
12,-69.27,0.16